(1)
# Pa2NiPt, optimized geometry, DFT PBE
data_Pa2NiPt
_chemical_formula_sum 'Pa2 Ni1 Pt1'
_cell_length_a 4.3566
_cell_length_b 4.3566
_cell_length_c 4.1281
_cell_angle_alpha 90.00
_cell_angle_beta 90.00
_cell_angle_gamma 90.00
_symmetry_space_group_name_H-M 'P 4/m m m'
_symmetry_Int_Tables_number 123
_symmetry_space_group_name_Hall '-P 4 2'
loop_
_atom_site_label
_atom_site_fract_x
_atom_site_fract_y
_atom_site_fract_z
Pa1 0.0000 0.5000 0.0000
Ni1 0.0000 0.0000 0.5000
Pt1 0.5000 0.5000 0.5000
# Total magnetization, μB/atom: 0.00
# ρ, g cm⁻³: 15.17
# DOS(E_F), states/eV per atom: 1.58
# ΔE_f, meV/atom: -469


(2)
# PaNiPt, optimized geometry, DFT PBE
data_PaNiPt
_chemical_formula_sum 'Pa4 Ni4 Pt4'
_cell_length_a 3.8253
_cell_length_b 13.5178
_cell_length_c 4.0147
_cell_angle_alpha 90.00
_cell_angle_beta 90.00
_cell_angle_gamma 90.00
_symmetry_space_group_name_H-M 'C m c m'
_symmetry_Int_Tables_number 63
_symmetry_space_group_name_Hall '-C 2c 2'
loop_
_atom_site_label
_atom_site_fract_x
_atom_site_fract_y
_atom_site_fract_z
Pa1 0.0000 0.0823 0.2500
Ni1 0.0000 0.3925 0.2500
Pt1 0.0000 0.2491 0.7500
# Total magnetization, μB/atom: 0.00
# ρ, g cm⁻³: 15.51
# DOS(E_F), states/eV per atom: 1.01
# ΔE_f, meV/atom: -606


(3)
# Pa5Ni2Pt5, optimized geometry, DFT PBE
data_Pa5Ni2Pt5
_chemical_formula_sum 'Pa10 Ni4 Pt10'
_cell_length_a 15.3755
_cell_length_b 3.9545
_cell_length_c 10.8090
_cell_angle_alpha 90.00
_cell_angle_beta 131.04
_cell_angle_gamma 90.00
_symmetry_space_group_name_H-M 'C 1 2/m 1'
_symmetry_Int_Tables_number 12
loop_
_symmetry_equiv_pos_as_xyz
'x,y,z'
'-x,-y,-z'
'-x,y,-z'
'x,-y,z'
'x+1/2,y+1/2,z'
'-x+1/2,-y+1/2,-z'
'-x+1/2,y+1/2,-z'
'x+1/2,-y+1/2,z'
loop_
_atom_site_label
_atom_site_fract_x
_atom_site_fract_y
_atom_site_fract_z
Pa1 0.0000 0.0000 0.0000
Pa2 0.1054 0.0000 0.4069
Pa3 0.2024 0.0000 0.8178
Ni1 0.1201 0.5000 0.2395
Pt1 0.0000 0.5000 0.5000
Pt2 0.0865 0.5000 0.8593
Pt3 0.2358 0.5000 0.6630
# Total magnetization, μB/atom: 0.00
# ρ, g cm⁻³: 15.06
# DOS(E_F), states/eV per atom: 1.23
# ΔE_f, meV/atom: -792


(4)
# Pa4Ni12Pt, optimized geometry, DFT PBE
data_Pa4Ni12Pt
_chemical_formula_sum 'Pa8 Ni24 Pt2'
_cell_length_a 7.9496
_cell_length_b 7.9496
_cell_length_c 7.9496
_cell_angle_alpha 90.00
_cell_angle_beta 90.00
_cell_angle_gamma 90.00
_symmetry_space_group_name_H-M 'I m -3 m'
_symmetry_Int_Tables_number 229
_symmetry_space_group_name_Hall '-I 4 2 3'
loop_
_atom_site_label
_atom_site_fract_x
_atom_site_fract_y
_atom_site_fract_z
Pa1 0.2500 0.2500 0.2500
Ni1 0.0000 0.0000 0.3237
Ni2 0.0000 0.2500 0.5000
Pt1 0.0000 0.0000 0.0000
# Total magnetization, μB/atom: 0.00
# ρ, g cm⁻³: 12.05
# DOS(E_F), states/eV per atom: 1.09
# ΔE_f, meV/atom: -403


(5)
# PaNiPt, optimized geometry, DFT PBE
data_PaNiPt
_chemical_formula_sum 'Pa4 Ni4 Pt4'
_cell_length_a 6.2661
_cell_length_b 6.2661
_cell_length_c 6.2661
_cell_angle_alpha 90.00
_cell_angle_beta 90.00
_cell_angle_gamma 90.00
_symmetry_space_group_name_H-M 'P 21 3'
_symmetry_Int_Tables_number 198
_symmetry_space_group_name_Hall 'P 2ac 2ab 3'
loop_
_atom_site_label
_atom_site_fract_x
_atom_site_fract_y
_atom_site_fract_z
Pa1 0.1804 0.3196 0.6804
Ni1 0.0529 0.0529 0.0529
Pt1 0.0442 0.9558 0.4558
# Total magnetization, μB/atom: 0.00
# ρ, g cm⁻³: 13.09
# DOS(E_F), states/eV per atom: 1.25
# ΔE_f, meV/atom: -437


(6)
# PaNiPt6, optimized geometry, DFT PBE
data_PaNiPt6
_chemical_formula_sum 'Pa2 Ni2 Pt12'
_cell_length_a 9.1477
_cell_length_b 4.0917
_cell_length_c 7.9006
_cell_angle_alpha 90.00
_cell_angle_beta 116.20
_cell_angle_gamma 90.00
_symmetry_space_group_name_H-M 'C 1 2/m 1'
_symmetry_Int_Tables_number 12
loop_
_symmetry_equiv_pos_as_xyz
'x,y,z'
'-x,-y,-z'
'-x,y,-z'
'x,-y,z'
'x+1/2,y+1/2,z'
'-x+1/2,-y+1/2,-z'
'-x+1/2,y+1/2,-z'
'x+1/2,-y+1/2,z'
loop_
_atom_site_label
_atom_site_fract_x
_atom_site_fract_y
_atom_site_fract_z
Pa1 0.0000 0.0000 0.0000
Ni1 0.0000 0.0000 0.5000
Pt1 0.0066 0.5000 0.7452
Pt2 0.2450 0.0000 0.3810
Pt3 0.2459 0.0000 0.8597
# Total magnetization, μB/atom: 0.03
# ρ, g cm⁻³: 18.28
# DOS(E_F), states/eV per atom: 1.00
# ΔE_f, meV/atom: -519


(7)
# Pa2NiPt6, optimized geometry, DFT PBE
data_Pa2NiPt6
_chemical_formula_sum 'Pa4 Ni2 Pt12'
_cell_length_a 9.7283
_cell_length_b 5.6231
_cell_length_c 5.9350
_cell_angle_alpha 90.00
_cell_angle_beta 90.21
_cell_angle_gamma 90.00
_symmetry_space_group_name_H-M 'C 1 2/m 1'
_symmetry_Int_Tables_number 12
loop_
_symmetry_equiv_pos_as_xyz
'x,y,z'
'-x,-y,-z'
'-x,y,-z'
'x,-y,z'
'x+1/2,y+1/2,z'
'-x+1/2,-y+1/2,-z'
'-x+1/2,y+1/2,-z'
'x+1/2,-y+1/2,z'
loop_
_atom_site_label
_atom_site_fract_x
_atom_site_fract_y
_atom_site_fract_z
Pa1 0.1667 0.0000 0.3515
Ni1 0.0000 0.5000 0.5000
Pt1 0.0861 0.2417 0.8094
Pt2 0.1720 0.5000 0.1920
# Total magnetization, μB/atom: 0.00
# ρ, g cm⁻³: 17.30
# DOS(E_F), states/eV per atom: 0.80
# ΔE_f, meV/atom: -788


(8)
# PaNi9Pt2, optimized geometry, DFT PBE
data_PaNi9Pt2
_chemical_formula_sum 'Pa2 Ni18 Pt4'
_cell_length_a 8.0600
_cell_length_b 8.0600
_cell_length_c 4.7691
_cell_angle_alpha 90.00
_cell_angle_beta 90.00
_cell_angle_gamma 90.00
_symmetry_space_group_name_H-M 'P 4/m b m'
_symmetry_Int_Tables_number 127
_symmetry_space_group_name_Hall '-P 4 2ab'
loop_
_atom_site_label
_atom_site_fract_x
_atom_site_fract_y
_atom_site_fract_z
Pa1 0.0000 0.0000 0.0000
Ni1 0.0000 0.5000 0.5000
Ni2 0.0649 0.2061 0.5000
Ni3 0.1770 0.6770 0.2423
Pt1 0.1210 0.3790 0.0000
# Total magnetization, μB/atom: 0.27
# ρ, g cm⁻³: 12.32
# DOS(E_F), states/eV per atom: 1.63
# ΔE_f, meV/atom: -266


Question: The highest DOS(E_F) belongs to which entry?
Answer: PaNi9Pt2